No. 1
Here is a relaxed structure of K2BaCu2 from Alexandria. Energies are from GGA-PBE.

Geometry as POSCAR:
```
K2BaCu2
1.0
-2.898 -1.015 3.817
0.926 -4.777 -0.567
4.875 -2.306 6.232
K Cu Ba
2 2 1
direct
0.250 0.750 0.500
0.750 0.250 0.500
0.420 0.420 0.160
0.580 0.580 0.840
0.000 0.000 0.000
```

## Properties
DOS(E_F), states/eV per atom: 0.569
Energy relative to the lowest polymorph listed for this composition, meV per atom: 0
ΔE_f, kJ/mol of atoms: 23

---

No. 2
Here is a relaxed structure of K2BaCu from Alexandria. Energies are from GGA-PBE.

Geometry as POSCAR:
```
K2BaCu
1.0
8.099 0.197 -0.029
3.956 7.070 0.029
-5.152 -5.085 3.637
Ba Cu K
1 1 2
direct
0.578 0.578 0.000
0.740 0.240 0.500
0.258 0.758 0.500
0.925 0.925 0.000
```

## Properties
DOS(E_F), states/eV per atom: 0.682
ΔE_f, kJ/mol of atoms: 23

---

No. 3
Here is a relaxed structure of KBa2Cu from Alexandria. Energies are from GGA-PBE.

Geometry as POSCAR:
```
KBa2Cu
1.0
-2.317 -1.992 5.362
3.654 -2.864 4.067
1.554 2.814 5.269
Cu Ba K
1 2 1
direct
0.500 0.500 0.500
0.250 0.250 0.250
0.000 0.000 0.000
0.750 0.750 0.750
```

## Properties
DOS(E_F), states/eV per atom: 1.268
Energy relative to the lowest polymorph listed for this composition, meV per atom: 396
ΔE_f, kJ/mol of atoms: 42

---

No. 4
Here is a relaxed structure of K2BaCu from Alexandria. Energies are from GGA-PBE.

Geometry as POSCAR:
```
K2BaCu
1.0
-0.922 -1.999 -4.680
2.661 -4.234 1.284
-5.722 -2.881 2.357
K Ba Cu
2 1 1
direct
0.500 0.500 0.000
0.000 0.000 0.000
0.500 0.000 0.500
0.000 0.500 0.500
```

## Properties
DOS(E_F), states/eV per atom: 0.783
ΔE_f, kJ/mol of atoms: 29

---

No. 5
Here is a relaxed structure of KBa2Cu2 from Alexandria. Energies are from GGA-PBE.

Geometry as POSCAR:
```
KBa2Cu2
1.0
-1.613 0.833 -5.589
5.544 -0.893 -1.733
0.718 -6.580 -4.277
Cu Ba K
2 2 1
direct
0.250 0.750 0.500
0.750 0.250 0.500
0.664 0.664 0.672
0.336 0.336 0.328
0.000 0.000 0.000
```

## Properties
DOS(E_F), states/eV per atom: 0.765
Energy relative to the lowest polymorph listed for this composition, meV per atom: 201
ΔE_f, kJ/mol of atoms: 27

---

No. 6
Here is a relaxed structure of KBaCu2 from Alexandria. Energies are from GGA-PBE.

Geometry as POSCAR:
```
KBaCu2
1.0
-0.547 -1.032 5.241
-3.340 -3.871 1.639
1.970 -4.551 2.060
K Cu Ba
1 2 1
direct
0.750 0.750 0.750
0.250 0.250 0.250
0.000 0.000 0.000
0.500 0.500 0.500
```

## Properties
DOS(E_F), states/eV per atom: 0.845
Energy relative to the lowest polymorph listed for this composition, meV per atom: 294
ΔE_f, kJ/mol of atoms: 42

---

No. 7
Here is a relaxed structure of KBaCu2 from Alexandria. Energies are from GGA-PBE.

Geometry as POSCAR:
```
KBaCu2
1.0
3.603 0.018 0.000
-0.018 3.603 0.000
0.000 0.000 9.490
Cu K Ba
2 1 1
direct
0.000 0.000 0.087
0.500 0.500 0.152
0.000 0.000 0.414
0.500 0.500 0.847
```

## Properties
DOS(E_F), states/eV per atom: 0.723
Energy relative to the lowest polymorph listed for this composition, meV per atom: 144
ΔE_f, kJ/mol of atoms: 28

---

No. 8
Here is a relaxed structure of KBa2Cu from Alexandria. Energies are from GGA-PBE.

Geometry as POSCAR:
```
KBa2Cu
1.0
-1.061 4.030 -2.226
-3.458 0.082 -3.217
-9.015 3.887 6.321
K Cu Ba
1 1 2
direct
0.500 0.500 0.499
0.667 0.667 0.000
0.051 0.051 0.846
0.282 0.282 0.154
```

## Properties
DOS(E_F), states/eV per atom: 0.955
Energy relative to the lowest polymorph listed for this composition, meV per atom: 0
ΔE_f, kJ/mol of atoms: 3

---

No. 9
Here is a relaxed structure of KBa2Cu from Alexandria. Energies are from GGA-PBE.

Geometry as POSCAR:
```
KBa2Cu
1.0
-7.403 -4.861 -6.632
-7.609 -7.516 -2.832
-3.525 1.954 1.174
Ba Cu K
2 1 1
direct
0.989 0.989 0.011
0.654 0.654 0.846
0.538 0.538 0.462
0.318 0.318 0.182
```

## Properties
DOS(E_F), states/eV per atom: 0.923
Energy relative to the lowest polymorph listed for this composition, meV per atom: 87
ΔE_f, kJ/mol of atoms: 12

---

No. 10
Here is a relaxed structure of KBaCu2 from Alexandria. Energies are from GGA-PBE.

Geometry as POSCAR:
```
KBaCu2
1.0
-1.035 3.937 1.103
-2.631 0.272 -3.438
-7.309 -2.642 2.567
Cu Ba K
2 1 1
direct
0.000 0.337 0.591
0.000 0.163 0.909
0.500 0.750 0.750
0.500 0.250 0.250
```

## Properties
DOS(E_F), states/eV per atom: 0.596
Energy relative to the lowest polymorph listed for this composition, meV per atom: 71
ΔE_f, kJ/mol of atoms: 21

---

No. 11
Here is a relaxed structure of KBa2Cu2 from Alexandria. Energies are from GGA-PBE.

Geometry as POSCAR:
```
KBa2Cu2
1.0
5.717 0.000 0.000
0.000 5.717 0.000
2.859 2.859 5.889
Ba Cu K
2 2 1
direct
0.250 0.750 0.500
0.750 0.250 0.500
0.603 0.603 0.794
0.397 0.397 0.206
0.000 0.000 0.000
```

## Properties
DOS(E_F), states/eV per atom: 1.078
Energy relative to the lowest polymorph listed for this composition, meV per atom: 120
ΔE_f, kJ/mol of atoms: 19

---

No. 12
Here is a relaxed structure of KBa2Cu from Alexandria. Energies are from GGA-PBE.

Geometry as POSCAR:
```
KBa2Cu
1.0
-1.767 -5.906 1.259
-5.604 -1.114 2.635
-4.579 -2.699 -3.367
Ba Cu K
2 1 1
direct
0.750 0.750 0.750
0.250 0.250 0.250
0.500 0.500 0.500
0.000 0.000 0.000
```

## Properties
DOS(E_F), states/eV per atom: 2.088
Energy relative to the lowest polymorph listed for this composition, meV per atom: 297
ΔE_f, kJ/mol of atoms: 32

---

No. 13
Here is a relaxed structure of K2BaCu from Alexandria. Energies are from GGA-PBE.

Geometry as POSCAR:
```
K2BaCu
1.0
-1.579 -4.686 -4.735
-1.760 -3.254 3.808
-4.844 1.689 -0.056
K Ba Cu
2 1 1
direct
0.000 0.537 0.539
0.000 0.963 0.961
0.500 0.250 0.250
0.500 0.750 0.750
```

## Properties
DOS(E_F), states/eV per atom: 0.686
ΔE_f, kJ/mol of atoms: 31

---

No. 14
Here is a relaxed structure of K2BaCu from Alexandria. Energies are from GGA-PBE.

Geometry as POSCAR:
```
K2BaCu
1.0
4.663 -0.032 0.038
2.380 4.010 0.038
2.076 1.173 11.650
Cu K Ba
1 2 1
direct
0.246 0.246 0.261
0.968 0.968 0.086
0.753 0.753 0.745
0.533 0.533 0.408
```

## Properties
DOS(E_F), states/eV per atom: 0.789
ΔE_f, kJ/mol of atoms: 14

---

No. 15
Here is a relaxed structure of K2BaCu from Alexandria. Energies are from GGA-PBE.

Geometry as POSCAR:
```
K2BaCu
1.0
-1.899 -7.305 9.715
2.303 -5.756 10.626
-1.351 -3.266 11.784
K Cu Ba
2 1 1
direct
0.473 0.473 0.473
0.027 0.027 0.027
0.750 0.750 0.750
0.250 0.250 0.250
```

## Properties
DOS(E_F), states/eV per atom: 0.945
ΔE_f, kJ/mol of atoms: 31

---

No. 16
Here is a relaxed structure of K2BaCu2 from Alexandria. Energies are from GGA-PBE.

Geometry as POSCAR:
```
K2BaCu2
1.0
-5.093 -2.383 6.019
-5.820 -1.668 -5.585
1.885 -5.124 -0.434
K Cu Ba
4 4 2
direct
0.340 0.160 0.500
0.160 0.660 0.500
0.840 0.340 0.500
0.660 0.840 0.500
0.605 0.105 0.000
0.395 0.895 0.000
0.895 0.605 0.000
0.105 0.395 0.000
0.000 0.000 0.000
0.500 0.500 0.000
```

## Properties
DOS(E_F), states/eV per atom: 0.179
Energy relative to the lowest polymorph listed for this composition, meV per atom: 18
ΔE_f, kJ/mol of atoms: 25

---

No. 17
Here is a relaxed structure of KBa2Cu from Alexandria. Energies are from GGA-PBE.

Geometry as POSCAR:
```
KBa2Cu
1.0
4.198 0.059 0.000
-0.041 4.198 0.000
0.000 0.000 11.028
Ba Cu K
2 1 1
direct
0.500 0.500 0.332
0.000 0.000 0.016
0.000 0.000 0.471
0.500 0.500 0.681
```

## Properties
DOS(E_F), states/eV per atom: 0.867
Energy relative to the lowest polymorph listed for this composition, meV per atom: 122
ΔE_f, kJ/mol of atoms: 15

---

No. 18
Here is a relaxed structure of K2BaCu from Alexandria. Energies are from GGA-PBE.

Geometry as POSCAR:
```
K2BaCu
1.0
-2.776 -1.992 2.776
-2.864 -1.004 -3.584
3.434 -9.321 -3.254
K Cu Ba
2 1 1
direct
0.000 0.839 0.948
0.500 0.168 0.292
0.500 0.983 0.658
0.000 0.511 0.602
```

## Properties
DOS(E_F), states/eV per atom: 0.976
ΔE_f, kJ/mol of atoms: 13

---

No. 19
Here is a relaxed structure of KBa2Cu from Alexandria. Energies are from GGA-PBE.

Geometry as POSCAR:
```
KBa2Cu
1.0
-2.613 3.121 0.215
-2.844 -2.487 1.539
0.796 -0.159 11.989
Ba K Cu
2 1 1
direct
0.000 0.585 0.416
0.000 0.915 0.084
0.500 0.750 0.750
0.500 0.250 0.250
```

## Properties
DOS(E_F), states/eV per atom: 1.144
Energy relative to the lowest polymorph listed for this composition, meV per atom: 18
ΔE_f, kJ/mol of atoms: 5

---

No. 20
Here is a relaxed structure of K2BaCu from Alexandria. Energies are from GGA-PBE.

Geometry as POSCAR:
```
K2BaCu
1.0
5.037 0.000 0.000
-2.423 7.700 0.113
0.190 1.660 4.891
K Ba Cu
2 1 1
direct
0.500 0.000 0.500
0.000 0.000 0.000
0.000 0.500 0.500
0.500 0.500 0.000
```

## Properties
DOS(E_F), states/eV per atom: 0.676
ΔE_f, kJ/mol of atoms: 33

---

For reference, DFT total energy by record: -11.10; -7.27; -7.32; -7.01; -11.74; -9.47; -10.07; -8.90; -8.55; -10.36; -12.14; -7.71; -6.93; -7.64; -6.92; -22.02; -8.41; -7.67; -8.83; -6.83 eV per cell.